[1]
LaDyTh2 after structural relaxation, computed with PBE.

Cell lengths 3.565, 3.565, 10.328 Å; angles 90.00, 90.00, 90.00 degrees
Atoms (fractional coordinates):
La1 0.000 0.000 0.000
Dy1 0.000 0.000 0.500
Th1 0.500 0.500 0.255
Th2 0.500 0.500 0.745

Values from the calculation:
ΔE_f   1.5 kcal/mol of atoms
Relative energy among the computed polymorphs   39 meV/atom
Total DFT energy (no corrections)   -6.026 eV per atom
D(E_F)   6.88 states/eV/cell

[2]
TmBi2Au after structural relaxation, computed with PBE.

Cell lengths 10.818, 10.818, 10.818 Å; angles 19.06, 19.06, 19.06 degrees
Atoms (fractional coordinates):
Tm1 0.000 0.000 0.000
Bi1 0.099 0.099 0.099
Bi2 0.901 0.901 0.901
Au1 0.500 0.500 0.500

Values from the calculation:
ΔE_f   2.7 kcal/mol of atoms
Total DFT energy (no corrections)   -3.761 eV per atom
D(E_F)   2.64 states/eV/cell

[3]
CsRb2TlHg after structural relaxation, computed with PBE.

Cell lengths 7.185, 7.185, 7.381 Å; angles 90.00, 90.00, 90.00 degrees
Atoms (fractional coordinates):
Cs1 0.000 0.000 0.000
Rb1 0.000 0.500 0.500
Rb2 0.500 0.000 0.500
Tl1 0.000 0.000 0.500
Hg1 0.500 0.500 0.000

Values from the calculation:
ΔE_f   1.5 kcal/mol of atoms
Relative energy among the computed polymorphs   104 meV/atom
Total DFT energy (no corrections)   -1.025 eV per atom
D(E_F)   3.95 states/eV/cell

[4]
K3PdW after structural relaxation, computed with PBE.

Cell lengths 6.114, 6.114, 6.114 Å; angles 90.00, 90.00, 90.00 degrees
Atoms (fractional coordinates):
K1 0.000 0.000 0.500
K2 0.000 0.500 0.000
K3 0.500 0.000 0.000
Pd1 0.000 0.000 0.000
W1 0.500 0.500 0.500

Values from the calculation:
ΔE_f   31.2 kcal/mol of atoms
Relative energy among the computed polymorphs   0 meV/atom
Total DFT energy (no corrections)   -2.936 eV per atom
D(E_F)   0.11 states/eV/cell

[5]
YSc3Zn after structural relaxation, computed with PBE.

Cell lengths 5.241, 5.241, 5.241 Å; angles 90.00, 90.00, 90.00 degrees
Atoms (fractional coordinates):
Y1 0.000 0.000 0.000
Sc1 0.000 0.000 0.500
Sc2 0.000 0.500 0.000
Sc3 0.500 0.000 0.000
Zn1 0.500 0.500 0.500

Values from the calculation:
ΔE_f   24.3 kcal/mol of atoms
Relative energy among the computed polymorphs   862 meV/atom
Total DFT energy (no corrections)   -4.292 eV per atom
D(E_F)   4.81 states/eV/cell

[6]
CaMgBRh2 after structural relaxation, computed with PBE.

Cell lengths 4.197, 4.197, 4.708 Å; angles 90.00, 90.00, 90.00 degrees
Atoms (fractional coordinates):
Ca1 0.000 0.000 0.000
Mg1 0.500 0.500 0.000
B1 0.000 0.000 0.500
Rh1 0.000 0.500 0.500
Rh2 0.500 0.000 0.500

Values from the calculation:
ΔE_f   -5.4 kcal/mol of atoms
Relative energy among the computed polymorphs   149 meV/atom
Total DFT energy (no corrections)   -5.228 eV per atom
D(E_F)   1.01 states/eV/cell

[7]
ZrTaTi3 after structural relaxation, computed with PBE.

Cell lengths 4.789, 4.789, 4.789 Å; angles 90.00, 90.00, 90.00 degrees
Atoms (fractional coordinates):
Zr1 0.000 0.000 0.000
Ta1 0.500 0.500 0.500
Ti1 0.000 0.500 0.500
Ti2 0.500 0.000 0.500
Ti3 0.500 0.500 0.000

Values from the calculation:
ΔE_f   20.0 kcal/mol of atoms
Relative energy among the computed polymorphs   0 meV/atom
Total DFT energy (no corrections)   -7.950 eV per atom
D(E_F)   7.60 states/eV/cell

[8]
Ca2AlCd after structural relaxation, computed with PBE.

Cell lengths 6.399, 6.399, 6.399 Å; angles 146.10, 130.67, 61.21 degrees
Atoms (fractional coordinates):
Ca1 0.000 0.000 0.000
Ca2 0.706 0.206 0.500
Al1 0.251 0.751 0.500
Cd1 0.444 0.444 0.000

Values from the calculation:
ΔE_f   -4.8 kcal/mol of atoms
Total DFT energy (no corrections)   -2.372 eV per atom
D(E_F)   2.24 states/eV/cell

[9]
IrPt2 after structural relaxation, computed with PBE.

Cell lengths 6.243, 6.243, 3.946 Å; angles 90.00, 90.00, 143.38 degrees
Atoms (fractional coordinates):
Ir1 0.080 0.920 0.750
Ir2 0.920 0.080 0.250
Pt1 0.249 0.751 0.250
Pt2 0.418 0.582 0.750
Pt3 0.582 0.418 0.250
Pt4 0.751 0.249 0.750

Values from the calculation:
ΔE_f   1.5 kcal/mol of atoms
Relative energy among the computed polymorphs   27 meV/atom
Total DFT energy (no corrections)   -6.914 eV per atom
D(E_F)   9.67 states/eV/cell

[10]
CdBiPbCl after structural relaxation, computed with PBE.

Cell lengths 5.393, 5.393, 5.393 Å; angles 60.00, 60.00, 60.00 degrees
Atoms (fractional coordinates):
Cd1 0.000 0.000 0.000
Bi1 0.250 0.250 0.250
Pb1 0.500 0.500 0.500
Cl1 0.750 0.750 0.750

Values from the calculation:
Formation energy from raw total energies   -0.24 eV per atom
Total DFT energy (no corrections)   -2.829 eV per atom
D(E_F)   0.99 states/eV/cell

[11]
Rb2Na6SnHg after structural relaxation, computed with PBE.

Cell lengths 8.591, 8.591, 8.591 Å; angles 60.00, 60.00, 60.00 degrees
Atoms (fractional coordinates):
Rb1 0.250 0.250 0.250
Rb2 0.750 0.750 0.750
Na1 0.248 0.248 0.752
Na2 0.248 0.752 0.248
Na3 0.248 0.752 0.752
Na4 0.752 0.248 0.248
Na5 0.752 0.248 0.752
Na6 0.752 0.752 0.248
Sn1 0.500 0.500 0.500
Hg1 0.000 0.000 0.000

Values from the calculation:
ΔE_f   -1.0 kcal/mol of atoms
Total DFT energy (no corrections)   -1.457 eV per atom
D(E_F)   8.99 states/eV/cell

[12]
Ac2InAsRh6 after structural relaxation, computed with PBE.

Cell lengths 6.773, 6.773, 6.773 Å; angles 60.03, 60.03, 60.03 degrees
Atoms (fractional coordinates):
Ac1 0.250 0.250 0.250
Ac2 0.750 0.750 0.750
In1 0.000 0.000 0.000
As1 0.500 0.500 0.500
Rh1 0.262 0.262 0.738
Rh2 0.262 0.738 0.262
Rh3 0.262 0.738 0.738
Rh4 0.738 0.262 0.262
Rh5 0.738 0.262 0.738
Rh6 0.738 0.738 0.262

Values from the calculation:
ΔE_f   -5.5 kcal/mol of atoms
Total DFT energy (no corrections)   -6.209 eV per atom
D(E_F)   2.68 states/eV/cell

[13]
RbSb3Rh3 after structural relaxation, computed with PBE.

Cell lengths 9.809, 9.809, 9.809 Å; angles 42.21, 42.21, 42.21 degrees
Atoms (fractional coordinates):
Rb1 0.176 0.176 0.176
Rb2 0.824 0.824 0.824
Sb1 0.138 0.343 0.712
Sb2 0.288 0.862 0.657
Sb3 0.343 0.712 0.138
Sb4 0.657 0.288 0.862
Sb5 0.712 0.138 0.343
Sb6 0.862 0.657 0.288
Rh1 0.052 0.283 0.566
Rh2 0.283 0.566 0.052
Rh3 0.434 0.948 0.717
Rh4 0.566 0.052 0.283
Rh5 0.717 0.434 0.948
Rh6 0.948 0.717 0.434

Values from the calculation:
Formation energy from raw total energies   -0.32 eV per atom
Total DFT energy (no corrections)   -5.372 eV per atom
D(E_F)   7.15 states/eV/cell

[14]
Hg3OF5 after structural relaxation, computed with PBE.

Cell lengths 6.419, 6.419, 8.025 Å; angles 104.03, 104.03, 73.51 degrees
Atoms (fractional coordinates):
Hg1 0.000 0.000 0.000
Hg2 0.000 0.000 0.500
Hg3 0.308 0.308 0.358
Hg4 0.340 0.340 0.831
Hg5 0.660 0.660 0.169
Hg6 0.692 0.692 0.642
O1 0.085 0.085 0.285
O2 0.915 0.915 0.715
F1 0.010 0.631 0.355
F2 0.230 0.230 0.033
F3 0.303 0.697 0.000
F4 0.369 0.990 0.645
F5 0.470 0.470 0.645
F6 0.530 0.530 0.355
F7 0.631 0.010 0.355
F8 0.697 0.303 0.000
F9 0.770 0.770 0.967
F10 0.990 0.369 0.645

Values from the calculation:
Formation energy from raw total energies   -1.09 eV per atom
Total DFT energy (no corrections)   -2.782 eV per atom
D(E_F)   8.74 states/eV/cell

[15]
TiCdAs2Br after structural relaxation, computed with PBE.

Cell lengths 4.958, 4.958, 5.160 Å; angles 90.00, 90.00, 90.00 degrees
Atoms (fractional coordinates):
Ti1 0.000 0.000 0.000
Cd1 0.500 0.500 0.500
As1 0.000 0.500 0.000
As2 0.500 0.000 0.000
Br1 0.000 0.000 0.500

Values from the calculation:
Relative energy among the computed polymorphs   0 meV/atom
Formation energy from raw total energies   -0.06 eV per atom
Total DFT energy (no corrections)   -4.017 eV per atom
D(E_F)   5.40 states/eV/cell

[16]
MgInCoAu2 after structural relaxation, computed with PBE.

Cell lengths 4.868, 4.868, 4.682 Å; angles 90.00, 90.00, 90.00 degrees
Atoms (fractional coordinates):
Mg1 0.000 0.000 0.000
In1 0.500 0.500 0.000
Co1 0.000 0.000 0.500
Au1 0.000 0.500 0.500
Au2 0.500 0.000 0.500

Values from the calculation:
ΔE_f   8.0 kcal/mol of atoms
Total DFT energy (no corrections)   -3.252 eV per atom
D(E_F)   4.15 states/eV/cell

[17]
Ti2CrRh after structural relaxation, computed with PBE.

Cell lengths 5.544, 5.544, 5.544 Å; angles 104.17, 104.17, 120.69 degrees
Atoms (fractional coordinates):
Ti1 0.114 0.625 0.989
Ti2 0.375 0.364 0.489
Ti3 0.636 0.125 0.011
Ti4 0.875 0.886 0.511
Cr1 0.250 0.750 0.500
Cr2 0.500 0.500 0.000
Rh1 0.000 0.000 0.000
Rh2 0.750 0.250 0.500

Values from the calculation:
ΔE_f   3.0 kcal/mol of atoms
Total DFT energy (no corrections)   -8.060 eV per atom
D(E_F)   8.89 states/eV/cell

[18]
LiAgAu2 after structural relaxation, computed with PBE.

Cell lengths 4.595, 4.595, 4.595 Å; angles 60.00, 60.00, 60.00 degrees
Atoms (fractional coordinates):
Li1 0.000 0.000 0.000
Ag1 0.500 0.500 0.500
Au1 0.250 0.250 0.250
Au2 0.750 0.750 0.750

Values from the calculation:
ΔE_f   -6.2 kcal/mol of atoms
Relative energy among the computed polymorphs   44 meV/atom
Total DFT energy (no corrections)   -3.097 eV per atom
D(E_F)   0.96 states/eV/cell

[19]
La3Sm7Ho after structural relaxation, computed with PBE.

Cell lengths 8.608, 8.608, 8.608 Å; angles 139.40, 97.10, 96.72 degrees
Atoms (fractional coordinates):
La1 0.000 0.000 0.000
La2 0.214 0.500 0.714
La3 0.786 0.500 0.286
Sm1 0.004 0.800 0.203
Sm2 0.209 0.709 0.500
Sm3 0.403 0.200 0.203
Sm4 0.500 0.500 0.000
Sm5 0.597 0.800 0.797
Sm6 0.791 0.291 0.500
Sm7 0.996 0.200 0.797
Ho1 0.500 0.000 0.500

Values from the calculation:
ΔE_f   5.6 kcal/mol of atoms
Relative energy among the computed polymorphs   21 meV/atom
Total DFT energy (no corrections)   -4.520 eV per atom
D(E_F)   16.22 states/eV/cell

[20]
Li3As4Pd7 after structural relaxation, computed with PBE.

Cell lengths 7.935, 7.935, 9.173 Å; angles 122.00, 122.00, 29.12 degrees
Atoms (fractional coordinates):
Li1 0.000 0.000 0.000
Li2 0.337 0.337 0.341
Li3 0.663 0.663 0.659
As1 0.108 0.108 0.822
As2 0.331 0.331 0.733
As3 0.669 0.669 0.267
As4 0.892 0.892 0.178
Pd1 0.000 0.000 0.500
Pd2 0.171 0.171 0.432
Pd3 0.305 0.305 0.972
Pd4 0.487 0.487 0.721
Pd5 0.513 0.513 0.279
Pd6 0.695 0.695 0.028
Pd7 0.829 0.829 0.568

Values from the calculation:
ΔE_f   -11.4 kcal/mol of atoms
Total DFT energy (no corrections)   -4.831 eV per atom
D(E_F)   6.42 states/eV/cell